1.
# KCrTe3, optimized geometry, DFT PBE
data_KCrTe3
_cell_length_a 5.267
_cell_length_b 5.267
_cell_length_c 5.267
_cell_angle_alpha 90.00
_cell_angle_beta 90.00
_cell_angle_gamma 90.00
_symmetry_space_group_name_H-M 'P 1'
_symmetry_Int_Tables_number 1
_symmetry_space_group_name_Hall 'P 1'
loop_
_atom_site_label
_atom_site_type_symbol
_atom_site_fract_x
_atom_site_fract_y
_atom_site_fract_z
Cr1 Cr 0.000 0.000 0.000
K1 K 0.500 0.500 0.500
Te1 Te 0.000 0.500 0.000
Te2 Te 0.000 0.000 0.500
Te3 Te 0.500 0.000 0.000
# Raw total energy = -20.2 eV for the cell shown
# Raw formation energy = -13 meV per atom
# Crystal system = cubic
# Density = 5.39 g/cm3
# DOS(E_F) = 9.876 states/eV/cell
# Excess energy over the best structure of this formula in the dataset = 283.2 meV/atom
# SG = Pm-3m (221)

2.
# KCrTe, optimized geometry, DFT PBE
data_KCrTe
_cell_length_a 5.309
_cell_length_b 5.309
_cell_length_c 5.309
_cell_angle_alpha 60.00
_cell_angle_beta 60.00
_cell_angle_gamma 60.00
_symmetry_space_group_name_H-M 'P 1'
_symmetry_Int_Tables_number 1
_symmetry_space_group_name_Hall 'P 1'
loop_
_atom_site_label
_atom_site_type_symbol
_atom_site_fract_x
_atom_site_fract_y
_atom_site_fract_z
Cr1 Cr 0.500 0.500 0.500
K1 K 0.750 0.750 0.750
Te1 Te 0.000 0.000 0.000
# Raw total energy = -12.3 eV for the cell shown
# Raw formation energy = 529 meV per atom
# Crystal system = cubic
# Density = 3.43 g/cm3
# DOS(E_F) = 1.642 states/eV/cell
# Excess energy over the best structure of this formula in the dataset = 732.6 meV/atom
# SG = F-43m (216)

3.
# K3TiCr2Te6, optimized geometry, DFT PBE
data_K3TiCr2Te6
_cell_length_a 7.223
_cell_length_b 7.223
_cell_length_c 8.400
_cell_angle_alpha 98.24
_cell_angle_beta 98.24
_cell_angle_gamma 120.01
_symmetry_space_group_name_H-M 'P 1'
_symmetry_Int_Tables_number 1
_symmetry_space_group_name_Hall 'P 1'
loop_
_atom_site_label
_atom_site_type_symbol
_atom_site_fract_x
_atom_site_fract_y
_atom_site_fract_z
K1 K 0.165 0.835 0.500
K2 K 0.835 0.165 0.500
K3 K 0.500 0.500 0.500
Ti1 Ti 0.000 0.000 0.000
Cr1 Cr 0.333 0.667 0.000
Cr2 Cr 0.667 0.333 0.000
Te1 Te 0.939 0.601 0.817
Te2 Te 0.723 0.723 0.183
Te3 Te 0.061 0.399 0.183
Te4 Te 0.601 0.939 0.817
Te5 Te 0.277 0.277 0.817
Te6 Te 0.399 0.061 0.183
# Raw total energy = -56.9 eV for the cell shown
# Raw formation energy = -634 meV per atom
# Crystal system = monoclinic
# Density = 4.73 g/cm3
# DOS(E_F) = 7.139 states/eV/cell
# SG = C2/m (12)

4.
# KTiCrTe3, optimized geometry, DFT PBE
data_KTiCrTe3
_cell_length_a 4.113
_cell_length_b 9.053
_cell_length_c 10.985
_cell_angle_alpha 116.41
_cell_angle_beta 90.00
_cell_angle_gamma 90.00
_symmetry_space_group_name_H-M 'P 1'
_symmetry_Int_Tables_number 1
_symmetry_space_group_name_Hall 'P 1'
loop_
_atom_site_label
_atom_site_type_symbol
_atom_site_fract_x
_atom_site_fract_y
_atom_site_fract_z
K1 K 0.250 0.244 0.248
K2 K 0.750 0.756 0.752
Ti1 Ti 0.250 0.131 0.631
Ti2 Ti 0.750 0.869 0.369
Cr1 Cr 0.250 0.675 0.111
Cr2 Cr 0.750 0.325 0.889
Te1 Te 0.750 0.884 0.122
Te2 Te 0.250 0.116 0.878
Te3 Te 0.250 0.789 0.495
Te4 Te 0.750 0.211 0.505
Te5 Te 0.750 0.515 0.173
Te6 Te 0.250 0.485 0.827
# Raw total energy = -63.0 eV for the cell shown
# Raw formation energy = -575 meV per atom
# Crystal system = monoclinic
# Density = 4.73 g/cm3
# DOS(E_F) = 3.508 states/eV/cell
# SG = P2_1/m (11)

Among the records above, which one has the highest DOS(E_F)?
KCrTe3